A geometry-optimized Li2Ge3Pd8 structure, computed with PBE.

a = 5.3140 Å, b = 5.3140 Å, c = 26.5574 Å
α = 90.00°, β = 90.00°, γ = 120.00°
Last column: nearest neighbours and their distance in Å.
Space group R-3m (No. 166, hexagonal axes)
Unique sites:
Li (0.0000, 0.0000, 0.1289) x6  4 Pd 2.37-2.55
Ge (0.0000, 0.0000, 0.3077) x6  4 Pd 2.37-2.57
Ge (0.0000, 0.0000, 0.5000) x3  6 Li 3.23, 12 Pd 3.36-3.41
Pd (0.0000, 0.0000, 0.2183) x6  1 Li 2.37, 1 Ge 2.37
Pd (0.0007, 0.5004, 0.7186) x18  1 Li 2.55, 3 Ge 2.57-2.75, 4 Pd 2.65-2.66

Output
Total energy   -0.3458 Ry per atom
V   649 Å³/cell
DOS(E_F)   0.383 states/eV/atom
Total magnetization   0.00 Bohr magnetons per cell
DFT formation energy   -1.93 eV per formula unit